(1)
# LuCdAg

A geometry-optimized LuCdAg structure (PBE-GGA, the Alexandria database).

E   -18.023 eV per cell
Theoretical density   9.90 g cm⁻³
Energy relative to the elements   -0.72 eV/f.u.

Cell lengths 3.735, 3.735, 9.503 Å; angles 90.00, 90.00, 90.00 degrees
Space group I4mm (No. 107)
Symmetry-distinct sites (fractional):
Lu 0.000 0.000 0.000 (multiplicity 2)
Cd 0.000 0.000 0.676 (multiplicity 2)
Ag 0.000 0.000 0.333 (multiplicity 2)

=====

(2)
# K3ScTe2O9

A geometry-optimized K3ScTe2O9 structure (PBE-GGA, the Alexandria database).

E   -85.451 eV per cell
Theoretical density   4.69 g cm⁻³

Cell lengths 5.7194, 5.7194, 7.0145 Å; angles 90.00, 90.00, 120.00 degrees
Space group P-3m1 (No. 164)
Symmetry-distinct sites (fractional):
K 0.0000 0.0000 0.0000 (multiplicity 1)
K 0.3333 0.6667 0.6645 (multiplicity 2)
Sc 0.0000 0.0000 0.5000 (multiplicity 1)
Te 0.3333 0.6667 0.1735 (multiplicity 2)
O 0.0000 0.5000 0.0000 (multiplicity 3)
O 0.1725 0.3450 0.3220 (multiplicity 6)

=====

(3)
# NiPICl2

A geometry-optimized NiPICl2 structure (PBE-GGA, the Alexandria database).

E   -15.521 eV per cell
Theoretical density   4.68 g cm⁻³
Polymorph energy (0 for the lowest one)   0.0 meV/atom

Cell lengths 4.537, 4.537, 4.952 Å; angles 90.00, 90.00, 90.00 degrees
Space group P4/mmm (No. 123)
Symmetry-distinct sites (fractional):
Ni 0.000 0.000 0.000 (multiplicity 1)
P 0.000 0.000 0.500 (multiplicity 1)
I 0.500 0.500 0.500 (multiplicity 1)
Cl 0.000 0.500 0.000 (multiplicity 2)

=====

(4)
# Nd8As4PS3

A geometry-optimized Nd8As4PS3 structure (PBE-GGA, the Alexandria database).

E   -307.380 eV per cell
Theoretical density   6.31 g cm⁻³

Cell lengths 8.3898, 8.3898, 20.4824 Å; angles 90.00, 90.00, 120.00 degrees
Space group R-3m (No. 166, hexagonal axes)
Symmetry-distinct sites (fractional):
Nd 0.0000 0.0000 0.2499 (multiplicity 6)
Nd 0.0029 0.5015 0.2488 (multiplicity 18)
As 0.0000 0.0000 0.0000 (multiplicity 3)
As 0.0000 0.5000 0.0000 (multiplicity 9)
P 0.0000 0.0000 0.5000 (multiplicity 3)
S 0.0000 0.5000 0.5000 (multiplicity 9)

=====

(5)
# Cs4UPa3O12

A geometry-optimized Cs4UPa3O12 structure (PBE-GGA, the Alexandria database).

E   -325.140 eV per cell
Theoretical density   7.82 g cm⁻³

Cell lengths 8.891, 8.891, 8.891 Å; angles 90.00, 90.00, 90.00 degrees
Space group Im-3m (No. 229)
Symmetry-distinct sites (fractional):
Cs 0.250 0.250 0.250 (multiplicity 8)
U 0.000 0.000 0.000 (multiplicity 2)
Pa 0.000 0.000 0.500 (multiplicity 6)
O 0.000 0.000 0.249 (multiplicity 12)
O 0.000 0.250 0.500 (multiplicity 12)

=====

(6)
# Ca2IrBr

A geometry-optimized Ca2IrBr structure (PBE-GGA, the Alexandria database).

E   -59.176 eV per cell
Theoretical density   6.40 g cm⁻³
Polymorph energy (0 for the lowest one)   808.3 meV/atom

Cell lengths 7.149, 7.149, 7.149 Å; angles 90.00, 90.00, 90.00 degrees
Space group F-43m (No. 216)
Symmetry-distinct sites (fractional):
Ca 0.000 0.000 0.000 (multiplicity 4)
Ca 0.250 0.250 0.250 (multiplicity 4)
Ir 0.250 0.250 0.750 (multiplicity 4)
Br 0.000 0.000 0.500 (multiplicity 4)

=====

(7)
# Mn3AlH

A geometry-optimized Mn3AlH structure (PBE-GGA, the Alexandria database).

E   -139.700 eV per cell
Theoretical density   6.31 g cm⁻³

Cell lengths 5.238, 7.393, 5.239 Å; angles 90.00, 90.00, 90.00 degrees
Space group Cmcm (No. 63)
Symmetry-distinct sites (fractional):
Mn 0.000 0.230 0.250 (multiplicity 4)
Mn 0.250 0.000 0.000 (multiplicity 8)
Al 0.000 0.242 0.750 (multiplicity 4)
H 0.000 0.464 0.250 (multiplicity 4)

=====

(8)
# CsTl3Os

A geometry-optimized CsTl3Os structure (PBE-GGA, the Alexandria database).

E   -8.475 eV per cell
Theoretical density   5.96 g cm⁻³
Energy relative to the elements   10.71 eV/f.u.
Polymorph energy (0 for the lowest one)   1955.6 meV/atom

Cell lengths 6.388, 6.388, 6.388 Å; angles 90.00, 90.00, 90.00 degrees
Space group Pm-3m (No. 221)
Symmetry-distinct sites (fractional):
Cs 0.000 0.000 0.000 (multiplicity 1)
Tl 0.000 0.000 0.500 (multiplicity 3)
Os 0.500 0.500 0.500 (multiplicity 1)

=====

(9)
# Hf2IF

A geometry-optimized Hf2IF structure (PBE-GGA, the Alexandria database).

E   -96.566 eV per cell
Theoretical density   10.93 g cm⁻³
Polymorph energy (0 for the lowest one)   146.1 meV/atom

Cell lengths 6.735, 6.735, 6.735 Å; angles 90.00, 90.00, 90.00 degrees
Space group Fm-3m (No. 225)
Symmetry-distinct sites (fractional):
Hf 0.250 0.250 0.250 (multiplicity 8)
I 0.000 0.000 0.000 (multiplicity 4)
F 0.000 0.000 0.500 (multiplicity 4)

=====

(10)
# Mg2BePb

A geometry-optimized Mg2BePb structure (PBE-GGA, the Alexandria database).

E   -9.438 eV per cell
Theoretical density   5.39 g cm⁻³
Energy relative to the elements   1.19 eV/f.u.
Polymorph energy (0 for the lowest one)   170.0 meV/atom

Cell lengths 4.407, 4.407, 4.202 Å; angles 90.00, 90.00, 90.00 degrees
Space group P4/mmm (No. 123)
Symmetry-distinct sites (fractional):
Mg 0.000 0.500 0.000 (multiplicity 2)
Be 0.000 0.000 0.500 (multiplicity 1)
Pb 0.500 0.500 0.500 (multiplicity 1)

=====

(11)
# Sr2ZnCu3Au12

A geometry-optimized Sr2ZnCu3Au12 structure (PBE-GGA, the Alexandria database).

E   -170.346 eV per cell
Theoretical density   10.99 g cm⁻³
Energy relative to the elements   -0.53 eV/f.u.

Cell lengths 8.4999, 8.4999, 20.2506 Å; angles 90.00, 90.00, 120.00 degrees
Space group R-3m (No. 166, hexagonal axes)
Symmetry-distinct sites (fractional):
Sr 0.0000 0.0000 0.1191 (multiplicity 6)
Zn 0.0000 0.0000 0.5000 (multiplicity 3)
Cu 0.0000 0.5000 0.0000 (multiplicity 9)
Au 0.0074 0.5037 0.1241 (multiplicity 18)
Au 0.0198 0.5099 0.3729 (multiplicity 18)

=====

(12)
# NiSn2Os

A geometry-optimized NiSn2Os structure (PBE-GGA, the Alexandria database).

E   -95.532 eV per cell
Theoretical density   11.87 g cm⁻³
Energy relative to the elements   1.13 eV/f.u.
Polymorph energy (0 for the lowest one)   0.0 meV/atom

Cell lengths 6.481, 6.481, 6.481 Å; angles 90.00, 90.00, 90.00 degrees
Space group Fm-3m (No. 225)
Symmetry-distinct sites (fractional):
Ni 0.000 0.000 0.000 (multiplicity 4)
Sn 0.250 0.250 0.250 (multiplicity 8)
Os 0.000 0.000 0.500 (multiplicity 4)

=====

(13)
# CaTeIrI2

A geometry-optimized CaTeIrI2 structure (PBE-GGA, the Alexandria database).

E   -18.135 eV per cell
Theoretical density   6.40 g cm⁻³
Polymorph energy (0 for the lowest one)   0.0 meV/atom

Cell lengths 5.402, 5.402, 5.455 Å; angles 90.00, 90.00, 90.00 degrees
Space group P4/mmm (No. 123)
Symmetry-distinct sites (fractional):
Ca 0.000 0.000 0.000 (multiplicity 1)
Te 0.500 0.500 0.000 (multiplicity 1)
Ir 0.500 0.500 0.500 (multiplicity 1)
I 0.000 0.500 0.500 (multiplicity 2)

=====

(14)
# MnSi2Tc2

A geometry-optimized MnSi2Tc2 structure (PBE-GGA, the Alexandria database).

E   -84.413 eV per cell
Theoretical density   7.38 g cm⁻³
Polymorph energy (0 for the lowest one)   0.0 meV/atom

Cell lengths 6.744, 6.744, 3.037 Å; angles 90.00, 90.00, 90.00 degrees
Space group P4/mbm (No. 127)
Symmetry-distinct sites (fractional):
Mn 0.000 0.000 0.000 (multiplicity 2)
Si 0.138 0.362 0.000 (multiplicity 4)
Tc 0.157 0.657 0.500 (multiplicity 4)

=====

(15)
# CsK2LiHg

A geometry-optimized CsK2LiHg structure (PBE-GGA, the Alexandria database).

E   -5.391 eV per cell
Theoretical density   2.56 g cm⁻³
Energy relative to the elements   -0.13 eV/f.u.
Polymorph energy (0 for the lowest one)   0.0 meV/atom

Cell lengths 6.916, 6.916, 5.668 Å; angles 90.00, 90.00, 90.00 degrees
Space group P4/mmm (No. 123)
Symmetry-distinct sites (fractional):
Cs 0.000 0.000 0.000 (multiplicity 1)
K 0.000 0.500 0.500 (multiplicity 2)
Li 0.500 0.500 0.000 (multiplicity 1)
Hg 0.500 0.500 0.500 (multiplicity 1)

=====

(16)
# PmHfRhO6

A geometry-optimized PmHfRhO6 structure (PBE-GGA, the Alexandria database).

E   -145.130 eV per cell
Theoretical density   6.97 g cm⁻³

Cell lengths 5.3149, 5.3149, 10.1707 Å; angles 90.00, 90.00, 120.00 degrees
Space group P-31c (No. 163)
Symmetry-distinct sites (fractional):
Pm 0.0000 0.0000 0.0000 (multiplicity 2)
Hf 0.3333 0.6667 0.2500 (multiplicity 2)
Rh 0.3333 0.6667 0.7500 (multiplicity 2)
O 0.0131 0.3640 0.6408 (multiplicity 12)

=====

(17)
# InOsPt

A geometry-optimized InOsPt structure (PBE-GGA, the Alexandria database).

E   -19.111 eV per cell
Theoretical density   16.60 g cm⁻³
Energy relative to the elements   0.90 eV/f.u.
Polymorph energy (0 for the lowest one)   333.3 meV/atom

Cell lengths 2.9311, 2.9311, 6.7261 Å; angles 90.00, 90.00, 120.00 degrees
Space group P3m1 (No. 156)
Symmetry-distinct sites (fractional):
In 0.0000 0.0000 0.0000 (multiplicity 1)
Os 0.6667 0.3333 0.3382 (multiplicity 1)
Pt 0.3333 0.6667 0.6582 (multiplicity 1)

=====

(18)
# BeTlZn

A geometry-optimized BeTlZn structure (PBE-GGA, the Alexandria database).

E   -5.895 eV per cell
Theoretical density   8.42 g cm⁻³
Energy relative to the elements   1.47 eV/f.u.
Polymorph energy (0 for the lowest one)   213.4 meV/atom

Cell lengths 4.1332, 4.1332, 3.7188 Å; angles 90.00, 90.00, 120.00 degrees
Space group P3m1 (No. 156)
Symmetry-distinct sites (fractional):
Be 0.0000 0.0000 0.0000 (multiplicity 1)
Tl 0.3333 0.6667 0.5038 (multiplicity 1)
Zn 0.6667 0.3333 0.0034 (multiplicity 1)

=====

(19)
# Na2RhF5

A geometry-optimized Na2RhF5 structure (PBE-GGA, the Alexandria database).

E   -146.637 eV per cell
Theoretical density   3.19 g cm⁻³
Polymorph energy (0 for the lowest one)   0.0 meV/atom

Cell lengths 4.035, 11.561, 10.890 Å; angles 90.00, 90.00, 90.00 degrees
Space group Cmcm (No. 63)
Symmetry-distinct sites (fractional):
Na 0.000 0.140 0.066 (multiplicity 8)
Rh 0.000 0.166 0.750 (multiplicity 4)
F 0.000 0.047 0.619 (multiplicity 8)
F 0.000 0.283 0.611 (multiplicity 8)
F 0.000 0.305 0.250 (multiplicity 4)

=====

(20)
# DyHoTh2Te5

A geometry-optimized DyHoTh2Te5 structure (PBE-GGA, the Alexandria database).

E   -44.480 eV per cell
Theoretical density   7.00 g cm⁻³

Cell lengths 5.415, 5.415, 11.566 Å; angles 90.00, 90.00, 90.00 degrees
Space group P4/mmm (No. 123)
Symmetry-distinct sites (fractional):
Dy 0.000 0.000 0.000 (multiplicity 1)
Ho 0.000 0.000 0.500 (multiplicity 1)
Th 0.500 0.500 0.338 (multiplicity 2)
Te 0.000 0.000 0.246 (multiplicity 2)
Te 0.000 0.500 0.500 (multiplicity 2)
Te 0.500 0.500 0.000 (multiplicity 1)

=====

(21)
# TlHgSe2O6

A geometry-optimized TlHgSe2O6 structure (PBE-GGA, the Alexandria database).

E   -182.858 eV per cell
Theoretical density   6.26 g cm⁻³

Cell lengths 8.725, 11.653, 7.548 Å; angles 90.00, 114.39, 90.00 degrees
Space group C2/c (No. 15)
Symmetry-distinct sites (fractional):
Tl 0.000 0.208 0.250 (multiplicity 4)
Hg 0.000 0.403 0.750 (multiplicity 4)
Se 0.200 0.095 0.793 (multiplicity 8)
O 0.084 0.378 0.055 (multiplicity 8)
O 0.199 0.189 0.615 (multiplicity 8)
O 0.202 0.039 0.201 (multiplicity 8)

=====

(22)
# CeNdSc2

A geometry-optimized CeNdSc2 structure (PBE-GGA, the Alexandria database).

E   -23.076 eV per cell
Theoretical density   5.53 g cm⁻³
Energy relative to the elements   0.29 eV/f.u.
Polymorph energy (0 for the lowest one)   0.0 meV/atom

Cell lengths 3.477, 3.477, 9.299 Å; angles 90.00, 90.00, 90.00 degrees
Space group P4/mmm (No. 123)
Symmetry-distinct sites (fractional):
Ce 0.000 0.000 0.000 (multiplicity 1)
Nd 0.000 0.000 0.500 (multiplicity 1)
Sc 0.500 0.500 0.239 (multiplicity 2)

=====

(23)
# Fe2WSe

A geometry-optimized Fe2WSe structure (PBE-GGA, the Alexandria database).

E   -63.592 eV per cell
Theoretical density   11.59 g cm⁻³

Cell lengths 2.972, 4.281, 8.435 Å; angles 90.00, 90.00, 90.00 degrees
Space group Immm (No. 71)
Symmetry-distinct sites (fractional):
Fe 0.000 0.000 0.231 (multiplicity 4)
W 0.000 0.500 0.000 (multiplicity 2)
Se 0.000 0.500 0.500 (multiplicity 2)